Tb2Nd3Sm | PBE-GGA | optimized geometry

Cell: 10.271 7.265 12.049 Å, 90.00 115.20 90.00°
Space group C2/c (No. 15)
One atom of each set of equivalent atoms:
Tb1 0.166 0.125 0.083 x8
Nd1 0.000 0.124 0.750 x4
Nd2 0.167 0.375 0.584 x8
Sm1 0.000 0.376 0.250 x4

**VASP energy**: -4.70 eV/atom
**Calculated formation energy**: 15 meV per atom


Dy5HoZn4 | PBE-GGA | optimized geometry

Cell: 3.563 3.563 19.293 Å, 90.00 90.00 90.00°
Space group P4/mmm (No. 123)
One atom of each set of equivalent atoms:
Dy1 0.000 0.000 0.000 x1
Dy2 0.000 0.000 0.184 x2
Dy3 0.000 0.000 0.369 x2
Ho1 0.500 0.500 0.500 x1
Zn1 0.500 0.500 0.093 x2
Zn2 0.500 0.500 0.277 x2

**VASP energy**: -3.54 eV/atom
**Calculated formation energy**: -268 meV per atom


TlCu3Pb | PBE-GGA | optimized geometry

Cell: 5.032 5.032 5.032 Å, 90.00 90.00 90.00°
Space group Pm-3m (No. 221)
One atom of each set of equivalent atoms:
Tl1 0.000 0.000 0.000 x1
Cu1 0.000 0.500 0.500 x3
Pb1 0.500 0.500 0.500 x1

**VASP energy**: -3.01 eV/atom
**Calculated formation energy**: 660 meV per atom


LaEr2Mg | PBE-GGA | optimized geometry

Cell: 3.812 5.635 11.458 Å, 90.00 90.00 90.00°
Space group Immm (No. 71)
One atom of each set of equivalent atoms:
La1 0.000 0.000 0.000 x2
Er1 0.000 0.500 0.228 x4
Mg1 0.000 0.000 0.500 x2

**VASP energy**: -3.93 eV/atom
**Calculated formation energy**: -20 meV per atom